Entry 1:
DFT (PBE) results for Ca3MgTe4 after structural relaxation.

Lattice parameters (Å, degrees): 4.4659 4.4659 12.5693 90.00 90.00 90.00
Last column: nearest neighbours and their distance in Å.
Sites, in units of the cell vectors:
1 Ca 0.0000 0.0000 0.0000  6 Te 3.16-3.26
2 Ca 0.5000 0.5000 0.2534  6 Te 3.10-3.19
3 Ca 0.5000 0.5000 0.7466  6 Te 3.10-3.19
4 Mg 0.0000 0.0000 0.5000  6 Te 3.03-3.16
5 Te 0.0000 0.0000 0.2591  1 Mg 3.03, 5 Ca 3.16-3.26
6 Te 0.0000 0.0000 0.7409  1 Mg 3.03, 5 Ca 3.16-3.26
7 Te 0.5000 0.5000 0.0000  6 Ca 3.16-3.19
8 Te 0.5000 0.5000 0.5000  2 Ca 3.10, 4 Mg 3.16

Computed properties:
- DOS(E_F): 0.00 states/eV/f.u.
- Raw formation energy: -137 kJ per mole of atoms
- Raw total energy: -31.51 eV for the cell shown

=====

Entry 2:
DFT (PBE) results for Ac5HoMg4 after structural relaxation.

Lattice parameters (Å, degrees): 4.0850 4.0850 21.3365 90.00 90.00 90.00
Last column: nearest neighbours and their distance in Å.
Sites, in units of the cell vectors:
1 Ac 0.0000 0.0000 0.0000  8 Mg 3.55
2 Ac 0.0000 0.0000 0.1940  8 Mg 3.56-3.57
3 Ac 0.0000 0.0000 0.3887  4 Mg 3.54, 4 Ho 3.74
4 Ac 0.0000 0.0000 0.6113  4 Mg 3.54, 4 Ho 3.74
5 Ac 0.0000 0.0000 0.8060  8 Mg 3.56-3.57
6 Ho 0.5000 0.5000 0.5000  8 Ac 3.74, 4 Ho 4.09
7 Mg 0.5000 0.5000 0.0967  8 Ac 3.55-3.56
8 Mg 0.5000 0.5000 0.2925  8 Ac 3.54-3.57
9 Mg 0.5000 0.5000 0.7075  8 Ac 3.54-3.57
10 Mg 0.5000 0.5000 0.9033  8 Ac 3.55-3.56

Computed properties:
- DOS(E_F): 11.55 states/eV/f.u.
- ΔE_f: -0.046 eV/atom
- Raw total energy: -31.96 eV for the cell shown

=====

Entry 3:
DFT (PBE) results for Gd3HoF after structural relaxation.

Lattice parameters (Å, degrees): 5.0862 5.0862 5.0862 90.00 90.00 90.00
Last column: nearest neighbours and their distance in Å.
Sites, in units of the cell vectors:
1 Gd 0.0000 0.0000 0.5000  2 F 2.54
2 Gd 0.0000 0.5000 0.0000  2 F 2.54
3 Gd 0.5000 0.0000 0.0000  2 F 2.54
4 Ho 0.5000 0.5000 0.5000  12 Gd 3.60
5 F 0.0000 0.0000 0.0000  6 Gd 2.54

Computed properties:
- DOS(E_F): 6.75 states/eV/f.u.
- Raw formation energy: -89 kJ per mole of atoms
- Raw total energy: -53.31 eV for the cell shown

=====

Entry 4:
DFT (PBE) results for SrInGaHIr after structural relaxation.

Lattice parameters (Å, degrees): 6.5113 6.5113 6.5113 39.50 39.50 39.50
Last column: nearest neighbours and their distance in Å.
Sites, in units of the cell vectors:
1 Sr 0.0000 0.0000 0.0000  3 H 2.58
2 In 0.1975 0.1975 0.1975  1 H 2.00
3 Ga 0.4506 0.4506 0.4506  1 H 2.56, 3 Ir 2.57
4 H 0.3084 0.3084 0.3084  1 In 2.00
5 Ir 0.8036 0.8036 0.8036  3 Ga 2.57, 3 In 2.76

Computed properties:
- DOS(E_F): 3.43 states/eV/f.u.
- Raw total energy: -21.45 eV for the cell shown

=====

Entry 5:
DFT (PBE) results for TlInAgCl6 after structural relaxation.

Lattice parameters (Å, degrees): 6.6634 6.6634 6.9936 92.11 92.11 115.66
Last column: nearest neighbours and their distance in Å.
Sites, in units of the cell vectors:
1 Tl 0.0000 0.0000 0.0000  6 Cl 3.14-3.31
2 In 0.6717 0.3283 0.5000  6 Cl 2.48-2.62
3 Ag 0.3283 0.6717 0.5000  4 Cl 2.51-2.52
4 Cl 0.3678 0.0185 0.6874  1 Ag 2.52, 1 In 2.62
5 Cl 0.3707 0.3829 0.2878  1 Ag 2.51, 1 In 2.61
6 Cl 0.6171 0.6293 0.7122  1 Ag 2.51, 1 In 2.61
7 Cl 0.6404 0.0280 0.2640  1 In 2.48
8 Cl 0.9720 0.3596 0.7360  1 In 2.48
9 Cl 0.9815 0.6322 0.3126  1 Ag 2.52, 1 In 2.62

Computed properties:
- DOS(E_F): 1.63 states/eV/f.u.
- Raw formation energy: -80 kJ per mole of atoms
- Raw total energy: -26.53 eV for the cell shown

=====

Entry 6:
DFT (PBE) results for Li2PrBiO after structural relaxation.

Lattice parameters (Å, degrees): 6.6140 6.6140 6.6140 121.64 121.64 87.18
Last column: nearest neighbours and their distance in Å.
Sites, in units of the cell vectors:
1 Li 0.2490 0.7490 0.9981  2 O 2.28
2 Li 0.2510 0.2490 0.5000  2 O 2.28
3 Li 0.7490 0.7510 0.5000  2 O 2.28
4 Li 0.7510 0.2510 0.0019  2 O 2.28
5 Pr 0.2500 0.2500 0.0000  2 O 2.40
6 Pr 0.7500 0.7500 0.0000  2 O 2.40
7 Bi 0.2500 0.7500 0.5000  4 Pr 3.22, 8 Li 3.30-3.31
8 Bi 0.7500 0.2500 0.5000  4 Pr 3.22, 8 Li 3.30-3.31
9 O 0.0000 0.0000 0.0000  4 Li 2.28, 2 Pr 2.40
10 O 0.5000 0.5000 0.0000  4 Li 2.28, 2 Pr 2.40

Computed properties:
- DOS(E_F): 0.35 states/eV/f.u.
- Raw formation energy: -140 kJ per mole of atoms
- Raw total energy: -49.37 eV for the cell shown

=====

Entry 7:
DFT (PBE) results for TaGaCo2H after structural relaxation.

Lattice parameters (Å, degrees): 3.7816 3.7816 3.8666 90.00 90.00 90.00
Last column: nearest neighbours and their distance in Å.
Sites, in units of the cell vectors:
1 Ta 0.0000 0.0000 0.0000  2 H 1.93
2 Ga 0.5000 0.5000 0.0000  4 Ta 2.67, 8 Co 2.70
3 Co 0.0000 0.5000 0.5000  2 H 1.89
4 Co 0.5000 0.0000 0.5000  2 H 1.89
5 H 0.0000 0.0000 0.5000  4 Co 1.89, 2 Ta 1.93

Computed properties:
- DOS(E_F): 3.14 states/eV/f.u.
- Raw total energy: -32.90 eV for the cell shown

=====

Entry 8:
DFT (PBE) results for Co2TcTe after structural relaxation.

Lattice parameters (Å, degrees): 5.0280 5.0280 5.0280 144.08 128.53 64.35
Last column: nearest neighbours and their distance in Å.
Sites, in units of the cell vectors:
1 Co 0.2361 0.2361 0.0000  2 Te 2.54, 4 Co 2.69, 2 Tc 2.73
2 Co 0.7639 0.7639 0.0000  2 Te 2.54, 4 Co 2.69, 2 Tc 2.73
3 Tc 0.5000 0.0000 0.5000  4 Te 2.68, 8 Co 2.73-2.97
4 Te 0.0000 0.5000 0.5000  4 Co 2.54, 4 Tc 2.68

Computed properties:
- DOS(E_F): 5.56 states/eV/f.u.
- Raw formation energy: 45 kJ per mole of atoms
- Raw total energy: -25.87 eV for the cell shown

=====

Entry 9:
DFT (PBE) results for CeGdPd2 after structural relaxation.

Lattice parameters (Å, degrees): 5.0430 5.0430 5.0430 60.00 60.00 60.00
Last column: nearest neighbours and their distance in Å.
Sites, in units of the cell vectors:
1 Ce 0.0000 0.0000 0.0000  8 Pd 3.09
2 Gd 0.5000 0.5000 0.5000  8 Pd 3.09
3 Pd 0.2500 0.2500 0.2500  4 Gd 3.09, 4 Ce 3.09
4 Pd 0.7500 0.7500 0.7500  4 Gd 3.09, 4 Ce 3.09

Computed properties:
- DOS(E_F): 8.46 states/eV/f.u.
- ΔE_f: -0.712 eV/atom
- Raw total energy: -33.25 eV for the cell shown

=====

Entry 10:
DFT (PBE) results for Ce4Th5Hg after structural relaxation.

Lattice parameters (Å, degrees): 4.1557 4.1557 17.0755 90.00 90.00 90.00
Last column: nearest neighbours and their distance in Å.
Sites, in units of the cell vectors:
1 Ce 0.0000 0.0000 0.1072  1 Ce 3.18, 8 Th 3.33-3.46
2 Ce 0.0000 0.0000 0.2936  1 Ce 3.18, 8 Th 3.35-3.47, 1 Hg 3.52
3 Ce 0.0000 0.0000 0.7064  1 Ce 3.18, 8 Th 3.35-3.47, 1 Hg 3.52
4 Ce 0.0000 0.0000 0.8928  1 Ce 3.18, 8 Th 3.33-3.46
5 Th 0.5000 0.5000 0.0000  2 Th 3.41, 8 Ce 3.46
6 Th 0.5000 0.5000 0.1995  8 Ce 3.33-3.35, 2 Th 3.41-3.46
7 Th 0.5000 0.5000 0.4019  2 Th 3.35-3.46, 4 Hg 3.38, 4 Ce 3.47
8 Th 0.5000 0.5000 0.5981  2 Th 3.35-3.46, 4 Hg 3.38, 4 Ce 3.47
9 Th 0.5000 0.5000 0.8005  8 Ce 3.33-3.35, 2 Th 3.41-3.46
10 Hg 0.0000 0.0000 0.5000  8 Th 3.38, 2 Ce 3.52

Computed properties:
- DOS(E_F): 25.03 states/eV/f.u.
- ΔE_f: 0.074 eV/atom
- Raw total energy: -60.40 eV for the cell shown

=====

Entry 11:
DFT (PBE) results for HfHOs2 after structural relaxation.

Lattice parameters (Å, degrees): 4.3341 4.3341 4.3341 60.00 60.00 60.00
Last column: nearest neighbours and their distance in Å.
Sites, in units of the cell vectors:
1 Hf 0.0000 0.0000 0.0000  8 Os 2.65
2 H 0.5000 0.5000 0.5000  8 Os 2.65
3 Os 0.2500 0.2500 0.2500  4 Hf 2.65, 4 H 2.65
4 Os 0.7500 0.7500 0.7500  4 Hf 2.65, 4 H 2.65

Computed properties:
- DOS(E_F): 4.72 states/eV/f.u.
- Raw total energy: -32.50 eV for the cell shown

=====

Entry 12:
DFT (PBE) results for CuHRh after structural relaxation.

Lattice parameters (Å, degrees): 2.7923 2.7923 4.3724 90.00 90.00 120.00
Last column: nearest neighbours and their distance in Å.
Sites, in units of the cell vectors:
1 Cu 0.0000 0.0000 0.0000  3 H 2.10
2 H 0.6667 0.3333 0.3083  3 Rh 1.85
3 Rh 0.3333 0.6667 0.5145  3 H 1.85

Computed properties:
- DOS(E_F): 1.99 states/eV/f.u.
- Raw total energy: -14.73 eV for the cell shown

=====

Entry 13:
DFT (PBE) results for Pu2Zn15Hg2 after structural relaxation.

Lattice parameters (Å, degrees): 6.9341 6.9341 6.9341 82.95 82.95 82.95
Last column: nearest neighbours and their distance in Å.
Sites, in units of the cell vectors:
1 Pu 0.1578 0.1578 0.1578  1 Hg 3.14, 12 Zn 3.18-3.42
2 Pu 0.8422 0.8422 0.8422  1 Hg 3.14, 12 Zn 3.18-3.42
3 Zn 0.0000 0.5000 0.5000  8 Zn 2.65-2.72, 2 Hg 2.77
4 Zn 0.1454 0.1454 0.6680  8 Zn 2.56-2.82
5 Zn 0.1454 0.6680 0.1454  8 Zn 2.56-2.82
6 Zn 0.1948 0.5000 0.8052  8 Zn 2.65-2.82
7 Zn 0.1948 0.8052 0.5000  8 Zn 2.65-2.82
8 Zn 0.3320 0.8546 0.8546  8 Zn 2.56-2.82
9 Zn 0.5000 0.0000 0.5000  8 Zn 2.65-2.72, 2 Hg 2.77
10 Zn 0.5000 0.1948 0.8052  8 Zn 2.65-2.82
11 Zn 0.5000 0.5000 0.0000  8 Zn 2.65-2.72, 2 Hg 2.77
12 Zn 0.5000 0.8052 0.1948  8 Zn 2.65-2.82
13 Zn 0.6680 0.1454 0.1454  8 Zn 2.56-2.82
14 Zn 0.8052 0.1948 0.5000  8 Zn 2.65-2.82
15 Zn 0.8052 0.5000 0.1948  8 Zn 2.65-2.82
16 Zn 0.8546 0.3320 0.8546  8 Zn 2.56-2.82
17 Zn 0.8546 0.8546 0.3320  8 Zn 2.56-2.82
18 Hg 0.3919 0.3919 0.3919  6 Zn 2.77-2.94, 1 Hg 2.90
19 Hg 0.6081 0.6081 0.6081  6 Zn 2.77-2.94, 1 Hg 2.90

Computed properties:
- DOS(E_F): 24.06 states/eV/f.u.
- ΔE_f: -0.107 eV/atom
- Raw total energy: -50.41 eV for the cell shown